# 1
Material: LiLa2P
Method: DFT, PBE
State: relaxed

a b c (Å): 7.1631 7.1631 7.1631
angles (deg): 90.00 90.00 90.00
With the nearest neighbours (Å) after each atom.
Fractional positions:
1 Li 0.0000 0.0000 0.0000  4 La 3.10, 4 P 3.10
2 Li 0.0000 0.5000 0.5000  4 La 3.10, 4 P 3.10
3 Li 0.5000 0.0000 0.5000  4 La 3.10, 4 P 3.10
4 Li 0.5000 0.5000 0.0000  4 La 3.10, 4 P 3.10
5 La 0.0000 0.0000 0.5000  4 La 3.10, 4 P 3.10
6 La 0.0000 0.5000 0.0000  4 La 3.10, 4 P 3.10
7 La 0.2500 0.2500 0.2500  4 La 3.10, 4 Li 3.10
8 La 0.2500 0.7500 0.7500  4 La 3.10, 4 Li 3.10
9 La 0.5000 0.0000 0.0000  4 La 3.10, 4 P 3.10
10 La 0.5000 0.5000 0.5000  4 La 3.10, 4 P 3.10
11 La 0.7500 0.2500 0.7500  4 La 3.10, 4 Li 3.10
12 La 0.7500 0.7500 0.2500  4 La 3.10, 4 Li 3.10
13 P 0.2500 0.2500 0.7500  4 La 3.10, 4 Li 3.10
14 P 0.2500 0.7500 0.2500  4 La 3.10, 4 Li 3.10
15 P 0.7500 0.2500 0.2500  4 La 3.10, 4 Li 3.10
16 P 0.7500 0.7500 0.7500  4 La 3.10, 4 Li 3.10


# 2
Material: LiLa2P
Method: DFT, PBE
State: relaxed

a b c (Å): 8.1849 8.1849 7.3198
angles (deg): 90.00 90.00 90.00
With the nearest neighbours (Å) after each atom.
Fractional positions:
1 Li 0.0000 0.0000 0.0000  4 La 3.25
2 Li 0.0000 0.5000 0.2500  4 La 3.25
3 Li 0.5000 0.0000 0.7500  4 La 3.25
4 Li 0.5000 0.5000 0.5000  4 La 3.25
5 La 0.2124 0.2500 0.6250  2 P 2.84
6 La 0.2500 0.7124 0.8750  2 P 2.84
7 La 0.2500 0.7876 0.3750  2 P 2.84
8 La 0.2876 0.2500 0.1250  2 P 2.84
9 La 0.7124 0.7500 0.1250  2 P 2.84
10 La 0.7500 0.2124 0.3750  2 P 2.84
11 La 0.7500 0.2876 0.8750  2 P 2.84
12 La 0.7876 0.7500 0.6250  2 P 2.84
13 P 0.0000 0.0000 0.5000  4 La 2.84
14 P 0.0000 0.5000 0.7500  4 La 2.84
15 P 0.5000 0.0000 0.2500  4 La 2.84
16 P 0.5000 0.5000 0.0000  4 La 2.84


# 3
Material: LiLaP
Method: DFT, PBE
State: relaxed

a b c (Å): 6.8037 6.8037 6.8037
angles (deg): 90.00 90.00 90.00
With the nearest neighbours (Å) after each atom.
Fractional positions:
1 Li 0.0000 0.0000 0.0000  4 La 2.95
2 Li 0.0000 0.5000 0.5000  4 La 2.95
3 Li 0.5000 0.0000 0.5000  4 La 2.95
4 Li 0.5000 0.5000 0.0000  4 La 2.95
5 La 0.2500 0.2500 0.7500  4 Li 2.95, 4 P 2.95
6 La 0.2500 0.7500 0.2500  4 Li 2.95, 4 P 2.95
7 La 0.7500 0.2500 0.2500  4 Li 2.95, 4 P 2.95
8 La 0.7500 0.7500 0.7500  4 P 2.95, 4 Li 2.95
9 P 0.0000 0.0000 0.5000  4 La 2.95
10 P 0.0000 0.5000 0.0000  4 La 2.95
11 P 0.5000 0.0000 0.0000  4 La 2.95
12 P 0.5000 0.5000 0.5000  4 La 2.95


# 4
Material: LiLa2P
Method: DFT, PBE
State: relaxed

a b c (Å): 4.0873 4.0873 22.2049
angles (deg): 90.00 90.00 120.00
With the nearest neighbours (Å) after each atom.
Fractional positions:
1 Li 0.0000 0.0000 0.0000  3 P 2.36
2 Li 0.3333 0.6667 0.6667  3 P 2.36
3 Li 0.6667 0.3333 0.3333  3 P 2.36
4 La 0.0000 0.0000 0.5729  3 P 3.14, 3 Li 3.15
5 La 0.0000 0.0000 0.7616  3 Li 3.16, 3 P 3.17
6 La 0.3333 0.6667 0.2396  3 P 3.14, 3 Li 3.15
7 La 0.3333 0.6667 0.4283  3 Li 3.16, 3 P 3.17
8 La 0.6667 0.3333 0.0950  3 Li 3.16, 3 P 3.17
9 La 0.6667 0.3333 0.9063  3 P 3.14, 3 Li 3.15
10 P 0.0000 0.0000 0.3330  3 Li 2.36
11 P 0.3333 0.6667 0.9996  3 Li 2.36
12 P 0.6667 0.3333 0.6663  3 Li 2.36


| no. | formation energy from the elements (meV/atom) | DFT total energy (eV per cell) |
| --- | --- | --- |
| 1 | -65 | -69.762 |
| 2 | -369 | -74.624 |
| 3 | -372 | -53.469 |
| 4 | -663 | -59.496 |